<one>
Entry from the Open Quantum Materials Database: an optimized crystal structure of TcBPO (GGA-PBE).

Its crystal system is tetragonal.

Cell and atoms, written as CIF:
```
data_TcBPO
_chemical_formula_sum 'Tc2 B2 P2 O2'
_cell_length_a 3.570
_cell_length_b 3.570
_cell_length_c 7.975
_cell_angle_alpha 90.00
_cell_angle_beta 90.00
_cell_angle_gamma 90.00
_space_group_name_H-M_alt 'P 4/n m m'
_space_group_IT_number 129
loop_
_space_group_symop_operation_xyz
'x,y,z'
'-x,-y,-z'
'-y+1/2,x,z'
'y+1/2,-x,-z'
'-x+1/2,-y+1/2,z'
'x+1/2,y+1/2,-z'
'y,-x+1/2,z'
'-y,x+1/2,-z'
'x+1/2,-y,-z'
'-x+1/2,y,z'
'-y,-x,-z'
'y,x,z'
'-x,y+1/2,-z'
'x,-y+1/2,z'
'y+1/2,x+1/2,-z'
'-y+1/2,-x+1/2,z'
loop_
_atom_site_label
_atom_site_fract_x
_atom_site_fract_y
_atom_site_fract_z
Tc1 0.250 0.750 0.000
B1 0.250 0.250 0.436
P1 0.250 0.250 0.193
O1 0.250 0.750 0.500
```

***

<two>
Entry from the Open Quantum Materials Database: an optimized crystal structure of TcBPO (GGA-PBE).

Its crystal system is orthorhombic.

Cell and atoms, written as CIF:
```
data_TcBPO
_chemical_formula_sum 'Tc2 B2 P2 O2'
_cell_length_a 2.891
_cell_length_b 6.838
_cell_length_c 4.624
_cell_angle_alpha 90.00
_cell_angle_beta 90.00
_cell_angle_gamma 90.00
_space_group_name_H-M_alt 'P m c 21'
_space_group_IT_number 26
_space_group_name_Hall 'P 2c -2'
loop_
_atom_site_label
_atom_site_fract_x
_atom_site_fract_y
_atom_site_fract_z
Tc1 0.000 0.128 0.000
B1 0.500 0.400 0.594
P1 0.000 0.205 0.490
O1 0.500 0.431 0.911
```

***

<three>
Entry from the Open Quantum Materials Database: an optimized crystal structure of TcBPO (GGA-PBE).

Its crystal system is orthorhombic.

Cell and atoms, written as CIF:
```
data_TcBPO
_chemical_formula_sum 'Tc2 B2 P2 O2'
_cell_length_a 2.718
_cell_length_b 6.204
_cell_length_c 5.237
_cell_angle_alpha 90.00
_cell_angle_beta 90.00
_cell_angle_gamma 90.00
_space_group_name_H-M_alt 'P m c 21'
_space_group_IT_number 26
_space_group_name_Hall 'P 2c -2'
loop_
_atom_site_label
_atom_site_fract_x
_atom_site_fract_y
_atom_site_fract_z
Tc1 0.000 0.070 0.000
B1 0.500 0.368 0.455
P1 0.500 0.334 0.825
O1 0.000 0.260 0.362
```

***

<two> is preferred energetically. Next in line: 71 meV/atom higher.